--- P ---
## Pm2GeO5 (PBE)

Data for Pm2GeO5 after structural relaxation.

## Properties
The calculation puts the volume at 144 Å³ per cell.

a = 5.8448 Å, b = 5.8449 Å, c = 6.7259 Å
α = 123.22°, β = 123.22°, γ = 90.76°
Last column: nearest neighbours and their distance in Å.
Fractional coordinates of all 8 atoms:
Pm (0.2134, 0.6726, 0.2978)  5 O 2.29-2.38
Pm (0.6726, 0.2134, 0.2978)  5 O 2.29-2.38
Ge (0.9833, 0.9833, 0.9934)  5 O 1.78-1.97
O (0.7943, 0.2642, 0.0482)  1 Ge 1.97
O (0.1923, 0.1923, 0.9727)  1 Ge 1.83
O (0.0075, 0.0075, 0.2887)  1 Ge 1.84
O (0.2642, 0.7943, 0.0482)  1 Ge 1.97
O (0.6493, 0.6493, 0.6071)  1 Ge 1.78

--- Q ---
## Pm2GeO5 (PBE)

Data for Pm2GeO5 after structural relaxation.

## Properties
The calculation puts the volume at 502 Å³ per cell.

a = 7.1038 Å, b = 8.4145 Å, c = 10.0978 Å
α = 71.27°, β = 69.41°, γ = 65.03°
Last column: nearest neighbours and their distance in Å.
Fractional coordinates of all 32 atoms:
Pm (0.5189, 0.0562, 0.6621)  6 O 2.31-2.41
Pm (0.7093, 0.1057, 0.9650)  6 O 2.31-2.48
Pm (0.7799, 0.3943, 0.5350)  6 O 2.31-2.48
Pm (0.7627, 0.5562, 0.1621)  6 O 2.31-2.41
Pm (0.2373, 0.4438, 0.8379)  6 O 2.31-2.41
Pm (0.2201, 0.6057, 0.4650)  6 O 2.31-2.48
Pm (0.2907, 0.8943, 0.0350)  6 O 2.31-2.48
Pm (0.4811, 0.9438, 0.3379)  6 O 2.31-2.41
Ge (0.9076, 0.0603, 0.3068)  4 O 1.76-1.80
Ge (0.2748, 0.4397, 0.1932)  4 O 1.76-1.80
Ge (0.7252, 0.5603, 0.8068)  4 O 1.76-1.80
Ge (0.0924, 0.9397, 0.6932)  4 O 1.76-1.80
O (0.9183, 0.0396, 0.1346)  1 Ge 1.77
O (0.2775, 0.0344, 0.5603)  1 Ge 1.77
O (0.8271, 0.0874, 0.6781)  1 Ge 1.80
O (0.4533, 0.2223, 0.1743)  1 Ge 1.76
O (0.8499, 0.2777, 0.3257)  1 Ge 1.76
O (0.3924, 0.1355, 0.8952)  4 Pm 2.31-2.48
O (0.4231, 0.3645, 0.6048)  4 Pm 2.31-2.48
O (0.0925, 0.4604, 0.3654)  1 Ge 1.77
O (0.1278, 0.5344, 0.0603)  1 Ge 1.77
O (0.5926, 0.4126, 0.8219)  1 Ge 1.80
O (0.4074, 0.5874, 0.1781)  1 Ge 1.80
O (0.8722, 0.4656, 0.9397)  1 Ge 1.77
O (0.9075, 0.5396, 0.6346)  1 Ge 1.77
O (0.5769, 0.6355, 0.3952)  4 Pm 2.31-2.48
O (0.6076, 0.8645, 0.1048)  4 Pm 2.31-2.48
O (0.1501, 0.7223, 0.6743)  1 Ge 1.76
O (0.5467, 0.7777, 0.8257)  1 Ge 1.76
O (0.1729, 0.9126, 0.3219)  1 Ge 1.80
O (0.7225, 0.9656, 0.4397)  1 Ge 1.77
O (0.0817, 0.9604, 0.8654)  1 Ge 1.77

Most favorable first, least favorable last: Q, P

--- P ---
## Pr3GeO (PBE)

Data for Pr3GeO after structural relaxation.

## Properties
The calculation puts the volume at 256 Å³ per cell.

a = 4.8038 Å, b = 4.9055 Å, c = 11.1184 Å
α = 90.00°, β = 102.45°, γ = 90.00°
Last column: nearest neighbours and their distance in Å.
Fractional coordinates of all 10 atoms:
Pr (0.6958, 0.2500, 0.8928)  1 O 2.92, 1 Ge 3.03
Pr (0.3042, 0.7500, 0.1072)  1 O 2.92, 1 Ge 3.03
Pr (0.9255, 0.7500, 0.3500)  2 O 2.42
Pr (0.0745, 0.2500, 0.6500)  2 O 2.42
Pr (0.4408, 0.2500, 0.3806)  3 O 2.45-2.65
Pr (0.5592, 0.7500, 0.6194)  3 O 2.45-2.65
Ge (0.8350, 0.2500, 0.1715)  5 Pr 3.03-3.31
Ge (0.1650, 0.7500, 0.8285)  5 Pr 3.03-3.31
O (0.4382, 0.7500, 0.3758)  5 Pr 2.42-2.65
O (0.5618, 0.2500, 0.6242)  5 Pr 2.42-2.65

--- Q ---
## Pr3GeO (PBE)

Data for Pr3GeO after structural relaxation.

## Properties
The calculation puts the volume at 120 Å³ per cell.

a = 4.9357 Å, b = 4.9357 Å, c = 4.9357 Å
α = 90.00°, β = 90.00°, γ = 90.00°
Last column: nearest neighbours and their distance in Å.
Fractional coordinates of all 5 atoms:
Pr (0.0000, 0.5000, 0.0000)  2 O 2.47
Pr (0.0000, 0.0000, 0.5000)  2 O 2.47
Pr (0.5000, 0.0000, 0.0000)  2 O 2.47
Ge (0.5000, 0.5000, 0.5000)  12 Pr 3.49
O (0.0000, 0.0000, 0.0000)  6 Pr 2.47

Most favorable first, least favorable last: P, Q

--- P ---
## GePtO (PBE)

Data for GePtO after structural relaxation.

## Properties
The calculation puts the volume at 44 Å³ per cell.

a = 3.7111 Å, b = 3.7111 Å, c = 4.1620 Å
α = 116.48°, β = 116.48°, γ = 90.00°
Last column: nearest neighbours and their distance in Å.
Fractional coordinates of all 3 atoms:
Ge (0.3226, 0.3226, 0.6452)  1 O 1.81
O (0.6027, 0.6027, 0.2054)  1 Ge 1.81
Pt (0.9247, 0.9247, 0.8495)  1 O 2.08

--- Q ---
## GePtO (PBE)

Data for GePtO after structural relaxation.

## Properties
The calculation puts the volume at 95 Å³ per cell.

a = 3.7009 Å, b = 6.8423 Å, c = 5.2882 Å
α = 49.45°, β = 69.52°, γ = 74.31°
Last column: nearest neighbours and their distance in Å.
Fractional coordinates of all 6 atoms:
Ge (0.4135, 0.7368, 0.4362)  2 O 1.85-1.91
Ge (0.5865, 0.2632, 0.5638)  2 O 1.85-1.91
Pt (0.8614, 0.0228, 0.2544)  2 Ge 2.39
Pt (0.1386, 0.9772, 0.7456)  2 Ge 2.39
O (0.6054, 0.6064, 0.1829)  2 Ge 1.85-1.91
O (0.3946, 0.3936, 0.8171)  2 Ge 1.85-1.91

Most favorable first, least favorable last: Q, P

--- P ---
## Ge3PtO (PBE)

Data for Ge3PtO after structural relaxation.

## Properties
The calculation puts the volume at 82 Å³ per cell.

a = 4.3461 Å, b = 4.3461 Å, c = 4.3461 Å
α = 90.00°, β = 90.00°, γ = 90.00°
Last column: nearest neighbours and their distance in Å.
Fractional coordinates of all 5 atoms:
Ge (0.0000, 0.5000, 0.0000)  2 O 2.17
Ge (0.0000, 0.0000, 0.5000)  2 O 2.17
Ge (0.5000, 0.0000, 0.0000)  2 O 2.17
O (0.0000, 0.0000, 0.0000)  6 Ge 2.17
Pt (0.5000, 0.5000, 0.5000)  12 Ge 3.07

--- Q ---
## Ge3PtO (PBE)

Data for Ge3PtO after structural relaxation.

## Properties
The calculation puts the volume at 114 Å³ per cell.

a = 4.8441 Å, b = 4.8441 Å, c = 4.8441 Å
α = 90.00°, β = 90.00°, γ = 90.00°
Last column: nearest neighbours and their distance in Å.
Fractional coordinates of all 5 atoms:
Ge (0.0000, 0.5000, 0.0000)  2 Pt 2.42
Ge (0.0000, 0.0000, 0.5000)  2 Pt 2.42
Ge (0.5000, 0.0000, 0.0000)  2 Pt 2.42
O (0.5000, 0.5000, 0.5000)  12 Ge 3.43
Pt (0.0000, 0.0000, 0.0000)  6 Ge 2.42

Most favorable first, least favorable last: P, Q

--- P ---
## Ge2Pt2O (PBE)

Data for Ge2Pt2O after structural relaxation.

## Properties
The calculation puts the volume at 89 Å³ per cell.

a = 4.0518 Å, b = 4.0518 Å, c = 6.1339 Å
α = 70.71°, β = 70.71°, γ = 90.00°
Last column: nearest neighbours and their distance in Å.
Fractional coordinates of all 5 atoms:
Ge (0.7500, 0.2500, 0.5000)  4 Pt 2.47
Ge (0.2500, 0.7500, 0.5000)  4 Pt 2.47
O (0.0000, 0.0000, 0.0000)  8 Pt 3.15, 8 Ge 3.38
Pt (0.3801, 0.3801, 0.2398)  4 Ge 2.47, 1 Pt 2.60
Pt (0.6199, 0.6199, 0.7602)  4 Ge 2.47, 1 Pt 2.60

--- Q ---
## Ge2Pt2O (PBE)

Data for Ge2Pt2O after structural relaxation.

## Properties
The calculation puts the volume at 156 Å³ per cell.

a = 6.7963 Å, b = 6.7963 Å, c = 3.3800 Å
α = 90.00°, β = 90.00°, γ = 90.00°
Last column: nearest neighbours and their distance in Å.
Fractional coordinates of all 10 atoms:
Ge (0.1572, 0.6572, 0.5000)  6 Pt 2.54-2.66
Ge (0.6572, 0.8428, 0.5000)  6 Pt 2.54-2.66
Ge (0.8428, 0.3428, 0.5000)  6 Pt 2.54-2.66
Ge (0.3428, 0.1572, 0.5000)  6 Pt 2.54-2.66
O (0.0000, 0.0000, 0.0000)  4 Pt 2.61
O (0.5000, 0.5000, 0.0000)  4 Pt 2.61
Pt (0.3552, 0.8552, 0.0000)  6 Ge 2.54-2.66, 2 O 2.61, 1 Pt 2.78
Pt (0.8552, 0.6448, 0.0000)  6 Ge 2.54-2.66, 2 O 2.61, 1 Pt 2.78
Pt (0.6448, 0.1448, 0.0000)  6 Ge 2.54-2.66, 2 O 2.61, 1 Pt 2.78
Pt (0.1448, 0.3552, 0.0000)  6 Ge 2.54-2.66, 2 O 2.61, 1 Pt 2.78

Most favorable first, least favorable last: Q, P